Record 1
## NaMnBO3 (PBE+U)

Data for a geometry-optimized NaMnBO3 structure.

Cell lengths 2.907, 5.412, 9.284 Å; angles 90.00, 90.00, 105.58 degrees
Last column: magnetic moment on the atom in μB.
Fractional coordinates of all 12 atoms:
1 O 0.397 0.793 0.881  0.05
2 O 0.603 0.207 0.119  0.05
3 O 0.059 0.118 0.750  0.04
4 O 0.941 0.882 0.250  0.04
5 O 0.397 0.793 0.619  0.05
6 O 0.603 0.207 0.381  0.05
7 Mn 0.000 0.000 0.500  4.62
8 Mn 0.000 0.000 0.000  4.62
9 Na 0.255 0.510 0.250  0.00
10 Na 0.745 0.490 0.750  0.00
11 B 0.534 0.068 0.250  0.01
12 B 0.466 0.932 0.750  0.01

E above lowest polymorph   0.182 eV/atom
Total magnetization   0.833 μB per atom

Record 2
## Na2MnBO4 (PBE+U)

Data for a geometry-optimized Na2MnBO4 structure.

Cell lengths 4.741, 5.693, 9.296 Å; angles 83.91, 75.23, 65.40 degrees
Last column: magnetic moment on the atom in μB.
Fractional coordinates of all 16 atoms:
1 O 0.490 0.331 0.586  -0.02
2 O 0.406 0.669 0.414  -0.02
3 O 0.260 0.169 0.914  -0.02
4 O 0.344 0.831 0.086  -0.02
5 O 0.179 0.331 0.414  -0.02
6 O 0.925 0.669 0.586  -0.02
7 O 0.571 0.169 0.086  -0.02
8 O 0.825 0.831 0.914  -0.02
9 Mn 0.750 0.500 0.500  2.03
10 Mn 0.000 0.000 0.000  2.03
11 Na 0.567 0.500 0.866  0.00
12 Na 0.817 0.000 0.366  0.00
13 Na 0.183 0.000 0.634  0.00
14 Na 0.933 0.500 0.134  0.00
15 B 0.500 0.000 0.000  0.01
16 B 0.250 0.500 0.500  0.01

Total magnetization   0.250 μB per atom
DFT total energy   -6.05 eV per atom

Record 3
## Na3Mn2BO6 (PBE+U)

Data for a geometry-optimized Na3Mn2BO6 structure.

Cell lengths 2.952, 5.549, 9.273 Å; angles 85.95, 81.11, 74.56 degrees
Last column: magnetic moment on the atom in μB.
Fractional coordinates of all 12 atoms:
1 B 0.000 0.000 0.000  0.00
2 O 0.800 0.808 0.595  0.00
3 O 0.200 0.192 0.405  0.00
4 O 0.526 0.240 0.714  -0.04
5 O 0.861 0.214 0.055  0.01
6 O 0.474 0.760 0.286  -0.04
7 O 0.139 0.786 0.945  0.01
8 Na 0.830 0.517 0.829  0.00
9 Na 0.170 0.483 0.171  0.00
10 Na 0.500 0.500 0.500  0.00
11 Mn 0.839 0.969 0.349  3.90
12 Mn 0.161 0.031 0.651  3.90

Total magnetization   0.667 μB per atom
DFT total energy   -6.38 eV per atom

Record 4
## NaMnBO3 (PBE+U)

Data for a geometry-optimized NaMnBO3 structure.

Cell lengths 5.151, 5.214, 5.904 Å; angles 85.10, 80.04, 60.40 degrees
Last column: magnetic moment on the atom in μB.
Fractional coordinates of all 12 atoms:
1 O 0.178 0.644 0.750  0.04
2 O 0.190 0.186 0.701  0.04
3 O 0.375 0.814 0.201  0.04
4 O 0.810 0.814 0.299  0.04
5 O 0.625 0.186 0.799  0.04
6 O 0.822 0.356 0.250  0.04
7 Mn 0.000 0.000 0.000  4.64
8 Mn 0.000 0.000 0.500  4.64
9 B 0.669 0.662 0.250  0.03
10 B 0.331 0.338 0.750  0.03
11 Na 0.335 0.329 0.250  0.00
12 Na 0.665 0.671 0.750  0.00

E above lowest polymorph   0.000 eV/atom
Total magnetization   0.833 μB per atom

Record 5
## Na3MnB2O6 (PBE+U)

Data for a geometry-optimized Na3MnB2O6 structure.

Cell lengths 5.174, 5.174, 6.057 Å; angles 90.00, 90.00, 120.00 degrees
Last column: magnetic moment on the atom in μB.
Fractional coordinates of all 12 atoms:
1 Na 0.000 0.000 0.000  0.00
2 Na 0.333 0.667 0.745  0.00
3 Na 0.667 0.333 0.255  0.00
4 O 0.642 0.821 0.286  -0.04
5 O 0.821 0.642 0.714  -0.04
6 O 0.358 0.179 0.714  -0.04
7 O 0.179 0.358 0.286  -0.04
8 O 0.179 0.821 0.286  -0.04
9 O 0.821 0.179 0.714  -0.04
10 B 0.667 0.333 0.708  0.02
11 B 0.333 0.667 0.292  0.02
12 Mn 0.000 0.000 0.500  4.06

Total magnetization   0.333 μB per atom
DFT total energy   -6.53 eV per atom

Record 6
## Na2MnBPO7 (PBE+U)

Data for a geometry-optimized Na2MnBPO7 structure.

Cell lengths 6.379, 5.369, 9.207 Å; angles 86.82, 90.00, 90.00 degrees
Last column: magnetic moment on the atom in μB.
Fractional coordinates of all 24 atoms:
1 Na 0.504 0.240 0.219  0.00
2 Na 0.996 0.240 0.219  0.00
3 Na 0.004 0.760 0.781  0.00
4 Na 0.496 0.760 0.781  0.00
5 O 0.750 0.459 0.799  -0.14
6 O 0.442 0.198 0.662  -0.04
7 O 0.942 0.802 0.338  -0.04
8 O 0.250 0.958 0.156  -0.15
9 O 0.750 0.437 0.468  0.00
10 O 0.558 0.802 0.338  -0.04
11 O 0.250 0.563 0.532  0.00
12 O 0.750 0.303 0.053  -0.13
13 O 0.058 0.198 0.662  -0.04
14 O 0.250 0.135 0.424  -0.01
15 O 0.250 0.541 0.201  -0.14
16 O 0.750 0.865 0.576  -0.01
17 O 0.250 0.697 0.947  -0.13
18 O 0.750 0.042 0.844  -0.15
19 P 0.750 0.725 0.435  0.01
20 P 0.250 0.275 0.565  0.01
21 Mn 0.750 0.217 0.653  3.44
22 Mn 0.250 0.783 0.347  3.44
23 B 0.750 0.270 0.913  0.02
24 B 0.250 0.730 0.087  0.02

Total magnetization   0.248 μB per atom
DFT total energy   -6.73 eV per atom